(1)
The following is a PBE-GGA calculation of a relaxed CaCeNd4Se8 crystal, from the Alexandria database.

The volume is 468 Å³/f.u. The value obtained for the total energy is -5.70 eV/atom.

Cell lengths 8.703, 8.703, 8.725 Å; angles 60.08, 60.08, 60.00 degrees
Atoms (fractional coordinates):
Se1 0.774 0.242 0.741
Se2 0.242 0.242 0.741
Se3 0.242 0.242 0.274
Se4 0.758 0.758 0.726
Nd1 0.625 0.625 0.125
Nd2 0.002 0.002 0.502
Ca1 0.375 0.375 0.875
Se5 0.226 0.758 0.259
Ce1 0.002 0.002 0.995
Se6 0.758 0.758 0.259
Se7 0.758 0.226 0.259
Se8 0.242 0.774 0.741
Nd3 0.494 0.002 0.502
Nd4 0.002 0.494 0.502

(2)
The following is a PBE-GGA calculation of a relaxed CaCeNdSm crystal, from the Alexandria database.

The volume is 141 Å³/f.u. The value obtained for the total energy is -4.12 eV/atom.

Cell lengths 5.847, 5.847, 5.847 Å; angles 60.00, 60.00, 60.00 degrees
Atoms (fractional coordinates):
Nd1 0.000 0.000 0.000
Sm1 0.500 0.500 0.500
Ca1 0.250 0.250 0.250
Ce1 0.750 0.750 0.750

(3)
The following is a PBE-GGA calculation of a relaxed CaCe2Nd3Te6 crystal, from the Alexandria database.

The volume is 386 Å³/f.u. The value obtained for the total energy is -5.36 eV/atom.

Cell lengths 4.469, 9.050, 10.061 Å; angles 103.14, 102.83, 90.00 degrees
Atoms (fractional coordinates):
Te1 0.665 0.582 0.331
Ce1 0.831 0.663 0.661
Te2 0.001 0.246 0.002
Te3 0.336 0.919 0.671
Te4 0.664 0.081 0.329
Te5 0.335 0.418 0.669
Nd1 0.500 0.500 0.000
Ca1 0.500 0.000 0.000
Te6 0.999 0.754 0.998
Nd2 0.168 0.829 0.335
Nd3 0.832 0.171 0.665
Ce2 0.169 0.337 0.339

(4)
The following is a PBE-GGA calculation of a relaxed CaCe3Nd4Te8 crystal, from the Alexandria database.

The volume is 514 Å³/f.u. The value obtained for the total energy is -5.43 eV/atom.

Cell lengths 8.996, 8.993, 8.995 Å; angles 120.00, 120.01, 90.00 degrees
Atoms (fractional coordinates):
Te1 0.752 0.253 0.505
Te2 0.250 0.251 0.500
Nd1 0.000 0.000 0.500
Te3 0.752 0.747 0.000
Te4 0.248 0.747 0.495
Ce1 0.500 0.500 0.000
Te5 0.750 0.749 0.500
Nd2 0.500 0.000 0.000
Nd3 0.000 0.000 0.000
Ce2 0.000 0.500 0.500
Te6 0.248 0.747 0.000
Te7 0.248 0.253 0.000
Ce3 0.500 0.500 0.500
Ca1 0.000 0.500 0.000
Nd4 0.500 0.000 0.500
Te8 0.752 0.253 0.000

(5)
The following is a PBE-GGA calculation of a relaxed Ca3Ce2NdTe6 crystal, from the Alexandria database.

The volume is 388 Å³/f.u. The value obtained for the total energy is -4.94 eV/atom.

Cell lengths 4.466, 9.095, 10.135 Å; angles 104.41, 102.73, 90.00 degrees
Atoms (fractional coordinates):
Ca1 0.834 0.167 0.668
Nd1 0.500 0.000 0.000
Ce1 0.833 0.667 0.667
Ce2 0.167 0.333 0.333
Te1 0.335 0.414 0.669
Te2 0.332 0.920 0.664
Te3 0.668 0.080 0.336
Te4 0.001 0.747 0.002
Ca2 0.500 0.500 0.000
Te5 0.665 0.586 0.331
Te6 0.999 0.253 0.998
Ca3 0.166 0.833 0.332

(6)
The following is a PBE-GGA calculation of a relaxed CaCe3Nd2Te6 crystal, from the Alexandria database.

The volume is 387 Å³/f.u. The value obtained for the total energy is -5.44 eV/atom.

Cell lengths 4.473, 9.051, 10.088 Å; angles 103.53, 102.81, 90.00 degrees
Atoms (fractional coordinates):
Te1 0.335 0.416 0.670
Ca1 0.500 0.000 0.000
Nd1 0.170 0.340 0.340
Te2 0.001 0.246 0.001
Nd2 0.830 0.660 0.660
Ce1 0.832 0.167 0.664
Ce2 0.168 0.833 0.336
Te3 0.665 0.584 0.330
Te4 0.664 0.083 0.329
Te5 0.999 0.754 0.999
Te6 0.336 0.917 0.671
Ce3 0.500 0.500 0.000

(7)
The following is a PBE-GGA calculation of a relaxed Ca2CeNdTe4 crystal, from the Alexandria database.

The volume is 259 Å³/f.u. The value obtained for the total energy is -4.90 eV/atom.

Cell lengths 4.467, 7.926, 7.729 Å; angles 70.99, 90.00, 90.00 degrees
Atoms (fractional coordinates):
Te1 0.000 0.244 0.252
Te2 0.500 0.755 0.248
Ca1 0.000 0.000 0.000
Te3 0.000 0.756 0.748
Te4 0.500 0.245 0.752
Ca2 0.500 0.000 0.500
Ce1 0.500 0.500 0.000
Nd1 0.000 0.500 0.500

(8)
The following is a PBE-GGA calculation of a relaxed Ca3CeNd2Te6 crystal, from the Alexandria database.

The volume is 388 Å³/f.u. The value obtained for the total energy is -4.86 eV/atom.

Cell lengths 4.465, 9.087, 10.133 Å; angles 104.40, 102.73, 90.00 degrees
Atoms (fractional coordinates):
Te1 0.668 0.082 0.336
Te2 0.999 0.253 0.999
Te3 0.665 0.588 0.330
Te4 0.332 0.918 0.664
Nd1 0.168 0.337 0.337
Ca1 0.500 0.500 0.000
Ca2 0.833 0.166 0.666
Ce1 0.500 0.000 0.000
Nd2 0.832 0.663 0.663
Ca3 0.167 0.834 0.334
Te5 0.001 0.747 0.001
Te6 0.335 0.412 0.670

(9)
The following is a PBE-GGA calculation of a relaxed CaCe2NdTl4 crystal, from the Alexandria database.

The volume is 238 Å³/f.u. The value obtained for the total energy is -3.83 eV/atom.

Cell lengths 5.502, 5.502, 9.621 Å; angles 73.38, 73.38, 60.00 degrees
Atoms (fractional coordinates):
Ce1 0.247 0.247 0.260
Nd1 0.000 0.000 0.000
Tl1 0.625 0.625 0.124
Ce2 0.753 0.753 0.740
Ca1 0.500 0.500 0.500
Tl2 0.124 0.124 0.627
Tl3 0.375 0.375 0.876
Tl4 0.876 0.876 0.373

(10)
The following is a PBE-GGA calculation of a relaxed Ca2CeNdTl4 crystal, from the Alexandria database.

The volume is 238 Å³/f.u. The value obtained for the total energy is -3.39 eV/atom.

Cell lengths 5.518, 5.518, 9.561 Å; angles 73.23, 73.23, 60.00 degrees
Atoms (fractional coordinates):
Ca1 0.750 0.750 0.750
Ce1 0.500 0.500 0.500
Tl1 0.376 0.376 0.873
Nd1 0.000 0.000 0.000
Tl2 0.125 0.125 0.625
Ca2 0.250 0.250 0.250
Tl3 0.875 0.875 0.375
Tl4 0.624 0.624 0.127

(11)
The following is a PBE-GGA calculation of a relaxed CaCeNdY crystal, from the Alexandria database.

The volume is 140 Å³/f.u. The value obtained for the total energy is -4.56 eV/atom.

Cell lengths 5.827, 5.827, 5.827 Å; angles 60.00, 60.00, 60.00 degrees
Atoms (fractional coordinates):
Ce1 0.000 0.000 0.000
Y1 0.750 0.750 0.750
Ca1 0.500 0.500 0.500
Nd1 0.250 0.250 0.250

(12)
The following is a PBE-GGA calculation of a relaxed Ca2Ce2Ni15 crystal, from the Alexandria database.

The volume is 266 Å³/f.u. The value obtained for the total energy is -5.56 eV/atom.

Cell lengths 6.484, 6.484, 6.484 Å; angles 82.70, 82.70, 82.70 degrees
Atoms (fractional coordinates):
Ni1 0.688 0.312 0.000
Ce1 0.888 0.888 0.888
Ni2 0.344 0.836 0.344
Ni3 0.000 0.000 0.500
Ni4 0.656 0.656 0.164
Ni5 0.312 0.000 0.688
Ca1 0.636 0.636 0.636
Ni6 0.312 0.688 0.000
Ni7 0.656 0.164 0.656
Ni8 0.500 0.000 0.000
Ni9 0.000 0.500 0.000
Ni10 0.344 0.344 0.836
Ni11 0.000 0.312 0.688
Ce2 0.112 0.112 0.112
Ni12 0.836 0.344 0.344
Ca2 0.364 0.364 0.364
Ni13 0.000 0.688 0.312
Ni14 0.688 0.000 0.312
Ni15 0.164 0.656 0.656